Computed, not measured: crystalline TiAs2PbO8 at its relaxed geometry at the PBE level of DFT.

Lattice parameters (Å, degrees): 8.5398 8.5398 8.5398 33.13 33.13 33.13
Positions (direct):
1 Ti 0.0000 0.0000 0.0000
2 As 0.2588 0.2588 0.2588
3 As 0.7412 0.7412 0.7412
4 Pb 0.5000 0.5000 0.5000
5 O 0.0435 0.3694 0.7467
6 O 0.1883 0.1883 0.1883
7 O 0.2533 0.6306 0.9565
8 O 0.3694 0.7467 0.0435
9 O 0.6306 0.9565 0.2533
10 O 0.7467 0.0435 0.3694
11 O 0.8117 0.8117 0.8117
12 O 0.9565 0.2533 0.6306

Summary:
Formation energy without anion corrections (eV per atom): -1.566
N(E_F) (states/eV/f.u.): 0.00